Density functional theory data (GGA-PBE) for a geometry-optimized Ho3CdIr8 structure.

Unit cell a=5.3293 b=5.3293 c=26.1447 alpha=90.00 beta=90.00 gamma=120.00
Space group R3m (No. 160, hexagonal axes)
Unique sites:
Ho 0.0000 0.0000 0.0000 x3
Ho 0.0000 0.0000 0.1278 x3
Ho 0.0000 0.0000 0.5073 x3
Cd 0.0000 0.0000 0.6299 x3
Ir 0.0000 0.0000 0.3158 x3
Ir 0.0000 0.0000 0.8158 x3
Ir 0.0005 0.5003 0.0661 x9
Ir 0.1672 0.3343 0.8990 x9

The formation energy from the elements is -0.6024 eV per atom.

---

Density functional theory data (GGA-PBE) for a geometry-optimized Tb6TmTe8 structure.

Unit cell a=12.3110 b=12.3110 c=12.3110 alpha=90.00 beta=90.00 gamma=90.00
Space group Fm-3m (No. 225)
Unique sites:
Tb 0.0000 0.2500 0.2500 x24
Tm 0.0000 0.0000 0.0000 x4
Te 0.0000 0.0000 0.2526 x24
Te 0.2500 0.2500 0.2500 x8

Its uncorrected formation energy is -1372 meV per atom.

---

Density functional theory data (GGA-PBE) for a geometry-optimized GaPt structure.

Unit cell a=6.9267 b=6.9267 c=6.9267 alpha=90.00 beta=90.00 gamma=90.00
Space group Pm-3n (No. 223)
Unique sites:
Ga 0.0000 0.2500 0.5000 x6
Pt 0.0000 0.5000 0.2500 x6

The formation energy from the elements is -0.0824 eV per atom.

---

Density functional theory data (GGA-PBE) for a geometry-optimized Ce4S structure.

Unit cell a=5.3416 b=5.3416 c=5.3416 alpha=90.00 beta=90.00 gamma=90.00
Space group Pm-3m (No. 221)
Unique sites:
Ce 0.0000 0.0000 0.0000 x1
Ce 0.0000 0.5000 0.5000 x3
S 0.5000 0.5000 0.5000 x1

Its uncorrected formation energy is -493 meV per atom.

---

Density functional theory data (GGA-PBE) for a geometry-optimized CaRe2Mo structure.

Unit cell a=6.4369 b=6.4369 c=6.4369 alpha=90.00 beta=90.00 gamma=90.00
Space group F-43m (No. 216)
Unique sites:
Ca 0.0000 0.0000 0.0000 x4
Re 0.0000 0.0000 0.5000 x4
Re 0.2500 0.2500 0.7500 x4
Mo 0.2500 0.2500 0.2500 x4

Its polymorph energy (0 for the lowest one) is 142 meV per atom. The formation energy from the elements is 0.6062 eV per atom.

---

Density functional theory data (GGA-PBE) for a geometry-optimized Tl4HgPb4 structure.

Unit cell a=12.2436 b=12.2436 c=3.7217 alpha=90.00 beta=90.00 gamma=90.00
Space group I4/m (No. 87)
Unique sites:
Tl 0.1447 0.8252 0.0000 x8
Hg 0.0000 0.0000 0.5000 x2
Pb 0.0317 0.3383 0.5000 x8

The formation energy from the elements is 0.0046 eV per atom.

---

Density functional theory data (GGA-PBE) for a geometry-optimized NbCuGe2 structure.

Unit cell a=6.8296 b=6.8296 c=5.7222 alpha=90.00 beta=90.00 gamma=90.00
Space group I-42d (No. 122)
Unique sites:
Nb 0.0000 0.0000 0.0000 x4
Cu 0.0000 0.0000 0.5000 x4
Ge 0.2144 0.2500 0.6250 x8

The formation energy from the elements is 0.1788 eV per atom.

---

Density functional theory data (GGA-PBE) for a geometry-optimized DyTm4Pd2 structure.

Unit cell a=3.8023 b=3.8023 c=46.4377 alpha=90.00 beta=90.00 gamma=120.00
Space group R-3m (No. 166, hexagonal axes)
Unique sites:
Dy 0.0000 0.0000 0.0000 x3
Tm 0.0000 0.0000 0.1977 x6
Tm 0.0000 0.0000 0.3941 x6
Pd 0.0000 0.0000 0.0982 x6

Its polymorph energy (0 for the lowest one) is 88 meV per atom. The formation energy from the elements is -0.3762 eV per atom.

---

Density functional theory data (GGA-PBE) for a geometry-optimized Sc3Si3Ir2 structure.

Unit cell a=7.8244 b=13.3955 c=5.3167 alpha=90.00 beta=90.00 gamma=90.00
Space group Pnma (No. 62)
Unique sites:
Sc 0.0492 0.1169 0.1110 x8
Sc 0.2015 0.2500 0.6258 x4
Si 0.1561 0.7500 0.6112 x4
Si 0.2083 0.0407 0.6203 x8
Ir 0.0758 0.5947 0.3929 x8

Its uncorrected formation energy is -980 meV per atom.

---

Density functional theory data (GGA-PBE) for a geometry-optimized CoSi2Au structure.

Unit cell a=3.9560 b=3.9560 c=15.5652 alpha=90.00 beta=90.00 gamma=90.00
Space group I-42d (No. 122)
Unique sites:
Co 0.0000 0.0000 0.0000 x4
Si 0.2014 0.2500 0.1250 x8
Au 0.0000 0.0000 0.5000 x4

Its polymorph energy (0 for the lowest one) is 149 meV per atom. Its uncorrected formation energy is 26 meV per atom.

---

Density functional theory data (GGA-PBE) for a geometry-optimized Li5Al structure.

Unit cell a=8.0776 b=4.6350 c=5.6298 alpha=90.00 beta=90.78 gamma=90.00
Space group C2/m (No. 12)
Unique sites:
Li 0.0000 0.0000 0.0000 x2
Li 0.1663 0.5000 0.7773 x4
Li 0.1668 0.5000 0.3169 x4
Al 0.0000 0.0000 0.5000 x2

Its polymorph energy (0 for the lowest one) is 0 meV per atom. The formation energy from the elements is -0.0667 eV per atom.

---

Density functional theory data (GGA-PBE) for a geometry-optimized Tl4C3 structure.

Unit cell a=5.0503 b=5.0503 c=5.0503 alpha=90.00 beta=90.00 gamma=90.00
Space group Pm-3m (No. 221)
Unique sites:
Tl 0.0000 0.0000 0.0000 x1
Tl 0.0000 0.5000 0.5000 x3
C 0.0000 0.0000 0.5000 x3

Its polymorph energy (0 for the lowest one) is 72 meV per atom. The formation energy from the elements is 1.7907 eV per atom.

---

| no. | total energy (eV/cell) | D(E_F) (states/eV/atom) |
| --- | --- | --- |
| 1 | -278.30 | 1.0440 |
| 2 | -311.84 | 0.4483 |
| 3 | -55.39 | 0.3150 |
| 4 | -30.33 | 3.6895 |
| 5 | -141.22 | 0.9014 |
| 6 | -49.12 | 0.4898 |
| 7 | -90.74 | 0.0936 |
| 8 | -106.52 | 1.2687 |
| 9 | -243.29 | 0.4742 |
| 10 | -84.50 | 0.5286 |
| 11 | -27.42 | 0.4854 |
| 12 | -24.60 | 0.6719 |